A geometry-optimized NbNi2PtN structure, computed with PBE.

a b c (Å): 3.8796 3.8796 4.1500
angles (deg): 90.00 90.00 90.00
With the nearest neighbours (Å) after each atom.
Positions (direct):
Pt  0.5000  0.5000  0.5000  4 Nb 2.74, 8 Ni 2.84
Ni  0.0000  0.5000  0.0000  2 N 1.94
N  0.0000  0.0000  0.0000  4 Ni 1.94, 2 Nb 2.07
Ni  0.5000  0.0000  0.0000  2 N 1.94
Nb  0.0000  0.0000  0.5000  2 N 2.07

size of the total moment: 0.00 μB per formula unit

A geometry-optimized Nb2NiPtN structure, computed with PBE.

a b c (Å): 4.2574 4.2574 3.8127
angles (deg): 90.00 90.00 90.00
With the nearest neighbours (Å) after each atom.
Positions (direct):
Nb  0.0000  0.5000  0.0000  2 N 2.13
Pt  0.5000  0.5000  0.5000  8 Nb 2.86, 4 Ni 3.01
Ni  0.0000  0.0000  0.5000  2 N 1.91
Nb  0.5000  0.0000  0.0000  2 N 2.13
N  0.0000  0.0000  0.0000  2 Ni 1.91, 4 Nb 2.13

size of the total moment: 0.00 μB per formula unit

A geometry-optimized PuNb2NiN4 structure, computed with PBE.

a b c (Å): 3.2101 5.5561 10.7701
angles (deg): 90.00 90.00 106.79
With the nearest neighbours (Å) after each atom.
Positions (direct):
Nb  0.3712  0.7424  0.9471  4 N 2.06-2.29
N  0.0000  0.0000  0.0000  4 Nb 2.19
N  0.7260  0.4520  0.6128  1 Ni 1.91, 1 Nb 2.06
Ni  0.8403  0.6806  0.7500  4 N 1.91-2.00
N  0.0000  0.0000  0.5000  4 Nb 2.19
N  0.5477  0.0954  0.2500  2 Ni 2.00
Nb  0.6288  0.2576  0.4471  4 N 2.06-2.29
Nb  0.6288  0.2576  0.0529  4 N 2.06-2.29
N  0.2740  0.5480  0.3872  1 Ni 1.91, 1 Nb 2.06
Pu  0.1082  0.2164  0.7500  6 N 2.31-2.52
Ni  0.1597  0.3194  0.2500  4 N 1.91-2.00
N  0.7260  0.4520  0.8872  1 Ni 1.91, 1 Nb 2.06
N  0.4523  0.9046  0.7500  2 Ni 2.00
Pu  0.8918  0.7836  0.2500  6 N 2.31-2.52
N  0.2740  0.5480  0.1128  1 Ni 1.91, 1 Nb 2.06
Nb  0.3712  0.7424  0.5529  4 N 2.06-2.29

size of the total moment: 4.74 μB per formula unit

A geometry-optimized Nb2NiRuN structure, computed with PBE.

a b c (Å): 4.2430 4.2430 3.7627
angles (deg): 90.00 90.00 90.00
With the nearest neighbours (Å) after each atom.
Positions (direct):
Ru  0.5000  0.5000  0.5000  8 Nb 2.84, 4 Ni 3.00
Nb  0.5000  0.0000  0.0000  2 N 2.12
N  0.0000  0.0000  0.0000  2 Ni 1.88
Nb  0.0000  0.5000  0.0000  2 N 2.12
Ni  0.0000  0.0000  0.5000  2 N 1.88

size of the total moment: 0.00 μB per formula unit

A geometry-optimized NbNiSeN2 structure, computed with PBE.

a b c (Å): 3.7879 3.7879 4.4982
angles (deg): 90.00 90.00 90.00
With the nearest neighbours (Å) after each atom.
Positions (direct):
Ni  0.0000  0.0000  0.0000  4 N 1.89
N  0.0000  0.5000  0.0000  2 Ni 1.89
Se  0.0000  0.0000  0.5000  2 Ni 2.25
N  0.5000  0.0000  0.0000  2 Ni 1.89
Nb  0.5000  0.5000  0.5000  4 Se 2.68, 8 N 2.94

excess energy over the best structure of this formula in the dataset: 454 meV per atom
size of the total moment: 0.00 μB per formula unit

A geometry-optimized NbNiSe2N structure, computed with PBE.

a b c (Å): 4.9205 4.9205 3.4089
angles (deg): 90.00 90.00 90.00
With the nearest neighbours (Å) after each atom.
Positions (direct):
Se  0.5000  0.0000  0.0000  2 Ni 2.46
Ni  0.0000  0.0000  0.0000  2 N 1.70
N  0.0000  0.0000  0.5000  2 Ni 1.70
Nb  0.5000  0.5000  0.5000  8 Se 2.99
Se  0.0000  0.5000  0.0000  2 Ni 2.46

excess energy over the best structure of this formula in the dataset: 46 meV per atom
size of the total moment: 1.77 μB per formula unit

Number 1: E_form (uncorrected) -0.343 eV per atom, energy -7.54 eV/atom, mass density 11.149 g cm⁻³. Number 2: E_form (uncorrected) -0.588 eV per atom, energy -8.65 eV/atom, mass density 10.900 g cm⁻³. Number 3: E_form (uncorrected) -0.849 eV per atom, energy -10.04 eV/atom, mass density 9.834 g cm⁻³. Number 4: E_form (uncorrected) -0.406 eV per atom, energy -9.11 eV/atom, mass density 8.814 g cm⁻³. Number 5: E_form (uncorrected) 1.046 eV per atom, energy -6.15 eV/atom, mass density 6.653 g cm⁻³. Number 6: E_form (uncorrected) 0.487 eV per atom, energy -5.74 eV/atom, mass density 6.509 g cm⁻³.